Record 1
Material: TlNiTeO6
Method: DFT, PBE+U
State: relaxed

Cell and atoms, written as POSCAR:
```
TlNiTeO6
1.0
4.853 0.000 0.000
0.000 4.853 0.000
0.000 0.000 9.619
Tl Ni Te O
2 2 2 12
Direct
0.000 0.000 0.000
0.500 0.500 0.500
0.000 0.000 0.332
0.500 0.500 0.832
0.000 0.000 0.665
0.500 0.500 0.165
0.176 0.176 0.505
0.196 0.196 0.811
0.213 0.213 0.176
0.287 0.713 0.676
0.304 0.696 0.311
0.324 0.676 0.005
0.676 0.324 0.005
0.696 0.304 0.311
0.713 0.287 0.676
0.787 0.787 0.176
0.804 0.804 0.811
0.824 0.824 0.505
```


Record 2
Material: TlNiTeO4
Method: DFT, PBE+U
State: relaxed

Cell and atoms, written as POSCAR:
```
TlNiTeO4
1.0
5.843 0.000 0.000
0.000 5.835 0.000
-1.218 0.000 7.178
Tl Ni Te O
2 2 2 8
Direct
0.114 0.250 0.141
0.886 0.750 0.859
0.224 0.750 0.490
0.776 0.250 0.510
0.368 0.250 0.700
0.632 0.750 0.300
0.153 0.506 0.668
0.153 0.994 0.668
0.286 0.750 0.227
0.423 0.250 0.450
0.577 0.750 0.550
0.714 0.250 0.773
0.847 0.006 0.332
0.847 0.494 0.332
```


Record 3
Material: Tl3NiTe2O8
Method: DFT, PBE+U
State: relaxed

Cell and atoms, written as POSCAR:
```
Tl3NiTe2O8
1.0
6.099 0.000 0.000
-3.049 5.282 0.000
0.000 0.000 7.771
Tl Ni Te O
3 1 2 8
Direct
0.000 0.000 0.000
0.333 0.667 0.724
0.667 0.333 0.276
0.000 0.000 0.500
0.333 0.667 0.277
0.667 0.333 0.723
0.157 0.314 0.330
0.157 0.843 0.330
0.314 0.157 0.670
0.333 0.667 0.038
0.667 0.333 0.962
0.686 0.843 0.330
0.843 0.157 0.670
0.843 0.686 0.670
```


Number 1: D(E_F) 9.5 states/eV per cell, total energy -4.96 eV per atom, total moment 0.97 μB/f.u.. Number 2: D(E_F) 5.0 states/eV per cell, total energy -4.75 eV per atom, total moment 2.76 μB/f.u.. Number 3: D(E_F) 3.4 states/eV per cell, total energy -4.73 eV per atom, total moment 1.36 μB/f.u..